[1]
5
Lattice="-3.510 -1.900 3.181 -1.962 -2.764 -3.816 3.143 -3.847 1.170" Properties=species:S:1:pos:R:3 comment="In3IrPd PBE relaxed" spacegroup=Pm-3m formation_energy_ev_per_atom=0.182 magnetic_moment_mub_per_cell=0.00 total_energy_ev_per_atom=-4.272 relative_energy_mev_per_atom=0 pbc="T T T"
In 1.572 -1.924 0.585
In -1.755 -0.950 1.591
In -0.981 -1.382 -1.908
Pd -1.165 -4.255 0.268
Ir 0.000 0.000 0.000

***

[2]
11
Lattice="-2.111 -4.106 -4.624 5.568 -2.852 -0.010 -0.894 -4.421 4.335" Properties=species:S:1:pos:R:3 comment="In7Ir2Pd2 PBE relaxed" spacegroup=Cmmm formation_energy_ev_per_atom=-0.147 magnetic_moment_mub_per_cell=0.00 total_energy_ev_per_atom=-4.445 pbc="T T T"
Ir 1.277 -1.987 1.182
Ir 1.286 -9.392 -1.481
In 4.539 -6.195 0.882
In 0.761 -6.702 -1.290
In 1.308 -6.980 3.054
In -1.976 -5.184 -1.181
In 1.802 -4.677 0.991
In 1.255 -4.399 -3.353
In 0.000 0.000 0.000
Pd -0.631 -6.154 1.137
Pd 3.194 -5.225 -1.435

***

[3]
8
Lattice="3.861 0.000 0.000 0.000 3.861 0.000 1.930 1.930 9.556" Properties=species:S:1:pos:R:3 comment="InIr2Pd PBE relaxed" spacegroup=I-42d formation_energy_ev_per_atom=0.359 magnetic_moment_mub_per_cell=0.00 total_energy_ev_per_atom=-6.054 pbc="T T T"
Ir 1.124 2.896 2.389
Ir 2.737 0.965 2.389
Ir 4.826 4.668 7.167
Ir 2.896 3.054 7.167
In 0.000 0.000 0.000
In 3.861 1.930 4.778
Pd 1.930 3.861 4.778
Pd 1.930 1.930 0.000

***

[4]
8
Lattice="-1.192 -2.624 1.392 2.833 -0.553 1.382 -3.864 7.568 10.956" Properties=species:S:1:pos:R:3 comment="In4IrPd3 PBE relaxed" spacegroup=P4/mmm formation_energy_ev_per_atom=-0.374 magnetic_moment_mub_per_cell=0.00 total_energy_ev_per_atom=-4.798 pbc="T T T"
Pd -0.142 0.297 4.116
Pd -2.080 4.094 9.613
Pd -1.111 2.195 6.865
In -3.386 6.633 9.601
In -0.478 0.936 1.354
In -2.415 4.731 6.848
In -1.449 2.838 4.108
Ir 0.821 -1.589 1.387

***

[5]
10
Lattice="-1.663 -2.060 1.890 2.757 -0.842 1.508 -2.404 12.251 11.239" Properties=species:S:1:pos:R:3 comment="In5IrPd4 PBE relaxed" spacegroup=P4/mmm formation_energy_ev_per_atom=-0.397 magnetic_moment_mub_per_cell=0.00 total_energy_ev_per_atom=-4.729 pbc="T T T"
In -0.655 4.674 7.318
In -0.176 2.230 5.076
In -1.618 9.580 11.819
In -1.135 7.118 9.561
In 0.307 -0.231 2.818
Pd -1.925 9.809 8.999
Pd -1.442 7.347 6.740
Pd -0.479 2.442 2.240
Pd -0.962 4.904 4.499
Ir 0.000 0.000 0.000

***

[6]
10
Lattice="-2.904 -6.022 -3.191 -2.155 -2.479 6.639 -2.816 1.538 -0.340" Properties=species:S:1:pos:R:3 comment="In2IrPd2 PBE relaxed" spacegroup=P4/mbm formation_energy_ev_per_atom=-0.068 magnetic_moment_mub_per_cell=0.00 total_energy_ev_per_atom=-5.012 pbc="T T T"
Pd -2.949 -4.384 4.595
Pd -3.884 -6.800 1.408
Pd -2.110 -4.117 -1.147
Pd -1.175 -1.700 2.041
In -5.143 -5.328 3.189
In -2.731 -1.634 -0.080
In -4.522 -5.035 -0.632
In -3.353 -1.928 3.741
Ir -2.529 -4.250 1.724
Ir 0.000 0.000 0.000

***

[7]
4
Lattice="4.791 0.000 0.000 2.395 4.149 0.000 2.395 1.383 3.911" Properties=species:S:1:pos:R:3 comment="PuInIrPd PBE relaxed" spacegroup=F-43m formation_energy_ev_per_atom=-0.392 magnetic_moment_mub_per_cell=4.88 total_energy_ev_per_atom=-8.173 pbc="T T T"
Ir 7.186 4.149 2.934
Pu 4.791 2.766 1.956
In 0.000 0.000 0.000
Pd 2.395 1.383 0.978

***

[8]
5
Lattice="4.699 0.000 0.000 0.000 5.102 0.000 0.000 0.000 4.699" Properties=species:S:1:pos:R:3 comment="InReIrPd2 PBE relaxed" spacegroup=P4/mmm formation_energy_ev_per_atom=1.697 magnetic_moment_mub_per_cell=0.00 total_energy_ev_per_atom=-5.189 pbc="T T T"
Ir 2.349 2.551 2.349
Pd 2.349 0.000 0.000
Pd 0.000 0.000 2.349
In 0.000 2.551 0.000
Re 0.000 0.000 0.000

***

[9]
5
Lattice="5.070 0.000 0.000 0.000 4.749 0.000 0.000 0.000 5.070" Properties=species:S:1:pos:R:3 comment="In2IrPdRh PBE relaxed" spacegroup=P4/mmm formation_energy_ev_per_atom=0.671 magnetic_moment_mub_per_cell=0.00 total_energy_ev_per_atom=-4.705 pbc="T T T"
Ir 0.000 0.000 0.000
Pd 2.535 2.375 2.535
In 0.000 0.000 2.535
In 2.535 0.000 0.000
Rh 0.000 2.375 0.000

***

[10]
5
Lattice="-0.420 3.834 -2.924 -0.780 -3.287 -4.197 -4.770 0.096 0.811" Properties=species:S:1:pos:R:3 comment="InSbIrPd2 PBE relaxed" spacegroup=P4/mmm formation_energy_uncorrected_kj_per_mol_atoms=135 magnetic_moment_mub_per_cell=0.98 total_energy_ev_per_atom=-3.825 pbc="T T T"
Pd -2.385 0.048 0.406
Pd -0.210 1.917 -1.462
Sb -0.390 -1.644 -2.099
In 0.000 0.000 0.000
Ir -2.985 0.321 -3.155

***

[11]
20
Lattice="3.375 0.000 0.000 0.000 11.098 0.000 0.000 0.000 11.098" Properties=species:S:1:pos:R:3 comment="Sc5In2Ir2Pd PBE relaxed" spacegroup=P4/mbm formation_energy_ev_per_atom=-0.689 magnetic_moment_mub_per_cell=0.00 total_energy_ev_per_atom=-6.694 pbc="T T T"
Sc 1.687 7.733 4.739
Sc 1.687 4.739 3.366
Sc 1.687 3.366 6.360
Sc 1.687 0.811 8.915
Sc 1.687 10.288 2.183
Sc 1.687 8.915 10.288
Sc 1.687 2.183 0.811
Sc 1.687 5.549 0.000
Sc 1.687 0.000 5.549
Sc 1.687 6.360 7.733
In 0.000 7.447 1.898
In 0.000 1.898 3.651
In 0.000 9.200 7.447
In 0.000 3.651 9.200
Ir 0.000 1.497 7.046
Ir 0.000 4.052 1.497
Ir 0.000 9.601 4.052
Ir 0.000 7.046 9.601
Pd 0.000 0.000 0.000
Pd 0.000 5.549 5.549

***

[12]
4
Lattice="-1.498 -4.556 -0.504 0.776 -3.198 3.526 -3.696 -1.628 2.635" Properties=species:S:1:pos:R:3 comment="SmInIrPd PBE relaxed" spacegroup=F-43m formation_energy_ev_per_atom=-0.579 magnetic_moment_mub_per_cell=0.00 total_energy_ev_per_atom=-5.957 pbc="T T T"
Ir 0.000 0.000 0.000
Sm -3.314 -7.037 4.242
Pd -2.209 -4.691 2.828
In -1.105 -2.346 1.414

***

[13]
10
Lattice="7.244 0.000 0.000 0.000 7.244 0.000 3.622 3.622 5.122" Properties=species:S:1:pos:R:3 comment="Sm2In6IrPd PBE relaxed" spacegroup=Fm-3m formation_energy_ev_per_atom=-0.137 magnetic_moment_mub_per_cell=0.00 total_energy_ev_per_atom=-4.129 pbc="T T T"
In 1.818 5.427 0.000
In 3.622 3.622 2.552
In 5.427 1.817 0.000
In 1.817 1.817 0.000
In 7.244 7.244 2.570
In 5.427 5.426 0.000
Sm 7.244 3.622 2.561
Sm 3.622 7.244 2.561
Pd 3.622 3.622 0.000
Ir 0.000 0.000 0.000